Below is a relaxed NaTiTl crystal, with properties calculated at the PBE level.

Lattice parameters (Å, degrees): 4.9650 4.9650 11.1567 90.00 90.00 120.00
With the nearest neighbours (Å) after each atom.
Positions (direct):
Na: 0.3333 0.6667 0.2500  3 Tl 2.87
Na: 0.6667 0.3333 0.7500  3 Tl 2.87
Ti: 0.0000 0.0000 0.0000  2 Tl 2.79
Ti: 0.0000 0.0000 0.5000  2 Tl 2.79
Tl: 0.0000 0.0000 0.2500  2 Ti 2.79, 3 Na 2.87
Tl: 0.0000 0.0000 0.7500  2 Ti 2.79, 3 Na 2.87

Calculated values
DOS(E_F): 9.6 states/eV/cell
DFT formation energy: 339 kJ/mol of formula units
Symmetry: P6_3/mmc (194)
VASP energy: -2.689 eV per atom